Material: In3Br
Method: DFT, PBE
State: relaxed

Unit cell a=5.748 b=5.748 c=3.439 alpha=90.00 beta=90.00 gamma=90.11
Fractional coordinates of all 4 atoms:
In1 0.000 0.000 0.000
In2 0.000 0.500 0.500
In3 0.500 0.000 0.500
Br1 0.500 0.500 0.000

Calculated values
uncorrected energy: -2.664 eV/atom
V: 113.6 Å³ per cell
energy above the most stable polymorph in this dataset: 10 meV/atom
magnetization: 0.00 Bohr magnetons per cell
N(E_F): 2.16 states/eV/f.u.